Material: CuSnSb2
Method: DFT, PBE
State: optimized geometry

```
data_CuSnSb2
_space_group_name_H-M_alt 'I -4 2 d'
_space_group_IT_number 122
_space_group_name_Hall 'I -4 2bw'
_cell_length_a 6.255
_cell_length_b 6.255
_cell_length_c 12.485
_cell_angle_alpha 90.00
_cell_angle_beta 90.00
_cell_angle_gamma 90.00
loop_
_atom_site_label
_atom_site_type_symbol
_atom_site_fract_x
_atom_site_fract_y
_atom_site_fract_z
Cu1 Cu 0.000 0.000 0.000
Sn1 Sn 0.000 0.000 0.500
Sb1 Sb 0.204 0.250 0.125
```

DFT total energy = -4.017 eV per atom
formation energy without anion corrections = 69 meV/atom
total moment = 0.000 μB per atom